Entry 1:
{
  "formula": "SmY7Tm12",
  "functional": "PBE",
  "state": "relaxed",
  "cell": [[0.806, 6.225, -7.327], [7.587, -5.959, 0.006], [-8.112, -5.123, -1.010]],
  "species": ["Tm", "Tm", "Tm", "Tm", "Tm", "Tm", "Tm", "Tm", "Tm", "Tm", "Tm", "Tm", "Sm", "Y", "Y", "Y", "Y", "Y", "Y", "Y"],
  "frac_coords": [[0.253, 0.747, 0.000], [0.747, 0.747, 0.494], [0.253, 0.253, 0.506], [0.253, 0.000, 0.747], [0.506, 0.253, 0.253], [0.253, 0.506, 0.253], [0.747, 0.000, 0.253], [0.747, 0.494, 0.747], [0.747, 0.253, 0.000], [0.494, 0.747, 0.747], [0.000, 0.747, 0.253], [0.000, 0.253, 0.747], [0.000, 0.000, 0.000], [0.000, 0.000, 0.500], [0.000, 0.500, 0.500], [0.500, 0.500, 0.500], [0.000, 0.500, 0.000], [0.500, 0.000, 0.500], [0.500, 0.500, 0.000], [0.500, 0.000, 0.000]],
  "vol_a3_per_atom": 34.6,
  "relative_energy_ev_per_atom": 0.4981,
  "e_form_kj_per_mol_fu": 1449
}

Entry 2:
{
  "formula": "LiYAgHg",
  "functional": "PBE",
  "state": "relaxed",
  "cell": [[-2.695, 2.997, -2.433], [-3.567, -3.067, 0.173], [1.906, 1.651, 4.477]],
  "species": ["Hg", "Ag", "Y", "Li"],
  "frac_coords": [[0.750, 0.250, 0.500], [0.250, 0.750, 0.500], [0.500, 0.500, 0.000], [0.000, 0.000, 0.000]],
  "vol_a3_per_atom": 21.7,
  "e_form_kj_per_mol_fu": -125
}

Entry 3:
{
  "formula": "SmEr3Th",
  "functional": "PBE",
  "state": "relaxed",
  "cell": [[-0.842, 7.366, -0.596], [-6.364, -1.271, -6.727], [-6.885, -0.276, 6.315]],
  "species": ["Er", "Er", "Er", "Er", "Er", "Er", "Er", "Er", "Er", "Er", "Er", "Er", "Th", "Th", "Th", "Th", "Sm", "Sm", "Sm", "Sm"],
  "frac_coords": [[0.379, 0.422, 0.378], [0.121, 0.622, 0.578], [0.879, 0.378, 0.422], [0.121, 0.922, 0.878], [0.379, 0.122, 0.078], [0.621, 0.878, 0.922], [0.879, 0.078, 0.122], [0.359, 0.598, 0.901], [0.859, 0.902, 0.598], [0.621, 0.578, 0.622], [0.141, 0.098, 0.402], [0.641, 0.402, 0.099], [0.413, 0.892, 0.608], [0.913, 0.608, 0.892], [0.587, 0.108, 0.392], [0.087, 0.392, 0.108], [0.250, 0.774, 0.226], [0.250, 0.274, 0.726], [0.750, 0.226, 0.774], [0.750, 0.726, 0.274]],
  "vol_a3_per_atom": 32.5,
  "relative_energy_ev_per_atom": 0.1230,
  "e_form_kj_per_mol_fu": 75
}

Entry 4:
{
  "formula": "AlReAsP2",
  "functional": "PBE",
  "state": "relaxed",
  "cell": [[-1.902, -3.064, 2.935], [4.260, -1.192, 1.516], [-0.245, 3.291, 3.276]],
  "species": ["Re", "P", "P", "Al", "As"],
  "frac_coords": [[0.000, 0.500, 0.000], [0.500, 0.000, 0.000], [0.000, 0.000, 0.500], [0.500, 0.500, 0.500], [0.000, 0.000, 0.000]],
  "vol_a3_per_atom": 20.2,
  "e_form_kj_per_mol_fu": 703
}